Entry 1:
HfSb2 | GGA-PBE | optimized geometry

Cell lengths 15.0996, 9.9652, 3.8985 Å; angles 90.00, 90.00, 90.00 degrees
With the nearest neighbours (Å) after each atom.
Fractional positions:
Hf 0.2484 0.0217 0.0000  8 Sb 2.95-3.04
Hf 0.5062 0.1668 0.0000  8 Sb 2.99-3.06, 1 Hf 3.33
Hf 0.4938 0.8332 0.0000  8 Sb 2.99-3.06, 1 Hf 3.33
Hf 0.7516 0.9783 0.0000  8 Sb 2.95-3.04
Hf 0.0062 0.3332 0.5000  8 Sb 2.99-3.06, 1 Hf 3.33
Hf 0.7484 0.4783 0.5000  8 Sb 2.95-3.04
Hf 0.2516 0.5217 0.5000  8 Sb 2.95-3.04
Hf 0.9938 0.6668 0.5000  8 Sb 2.99-3.06, 1 Hf 3.33
Sb 0.0574 0.1187 0.0000  3 Sb 2.93-3.10, 3 Hf 3.00-3.04
Sb 0.6980 0.2675 0.0000  4 Hf 2.97-3.06, 4 Sb 3.10-3.15
Sb 0.3452 0.3408 0.0000  3 Hf 2.99-3.01, 2 Sb 3.15
Sb 0.8953 0.4874 0.0000  6 Hf 2.95-3.03, 1 Sb 3.17
Sb 0.1047 0.5126 0.0000  6 Hf 2.95-3.03, 1 Sb 3.17
Sb 0.6548 0.6592 0.0000  3 Hf 2.99-3.01, 2 Sb 3.15
Sb 0.3020 0.7325 0.0000  4 Hf 2.97-3.06, 4 Sb 3.10-3.15
Sb 0.9426 0.8813 0.0000  3 Sb 2.93-3.10, 3 Hf 3.00-3.04
Sb 0.3953 0.0126 0.5000  6 Hf 2.95-3.03, 1 Sb 3.17
Sb 0.8452 0.1592 0.5000  3 Hf 2.99-3.01, 2 Sb 3.15
Sb 0.1979 0.2325 0.5000  4 Hf 2.97-3.06, 4 Sb 3.10-3.15
Sb 0.5574 0.3813 0.5000  3 Sb 2.93-3.10, 3 Hf 3.00-3.04
Sb 0.4426 0.6187 0.5000  3 Sb 2.93-3.10, 3 Hf 3.00-3.04
Sb 0.8020 0.7675 0.5000  4 Hf 2.97-3.06, 4 Sb 3.10-3.15
Sb 0.1548 0.8408 0.5000  3 Hf 2.99-3.01, 2 Sb 3.15
Sb 0.6047 0.9874 0.5000  6 Hf 2.95-3.03, 1 Sb 3.17

## Properties
Magnetization in μB per cell: 0.0
Crystal system: orthorhombic
Space-group type: No. 58
Total DFT energy (no corrections) in eV/atom: -6.48

***

Entry 2:
LaNdTl2Cd2 | GGA-PBE | optimized geometry

Cell lengths 4.9866, 4.9866, 7.7462 Å; angles 90.00, 90.00, 120.00 degrees
With the nearest neighbours (Å) after each atom.
Fractional positions:
Cd 0.3333 0.6667 0.0356  3 Tl 2.94
Cd 0.6667 0.3333 0.5448  4 Tl 2.95-3.18, 3 Nd 3.29
La 0.0000 0.0000 0.2510  6 Tl 3.31-3.68, 6 Cd 3.33-3.67
Nd 0.0000 0.0000 0.7507  6 Tl 3.29-3.64, 6 Cd 3.29-3.63
Tl 0.3333 0.6667 0.4623  3 Cd 2.95
Tl 0.6667 0.3333 0.9557  4 Cd 2.94-3.18, 3 Nd 3.29

## Properties
Magnetization in μB per cell: 0.0
Crystal system: trigonal
Space-group type: No. 156
Total DFT energy (no corrections) in eV/atom: -3.10

***

Entry 3:
Ag2Sn5 | GGA-PBE | optimized geometry

Cell lengths 8.7702, 8.7702, 8.7702 Å; angles 33.95, 33.95, 33.95 degrees
With the nearest neighbours (Å) after each atom.
Fractional positions:
Ag 0.2443 0.2443 0.2443  7 Sn 3.09-3.25
Ag 0.7539 0.7539 0.7539  5 Sn 2.98-3.24
Sn 0.0078 0.0078 0.0078  7 Sn 3.08-3.31
Sn 0.3756 0.3756 0.3756  4 Sn 2.98-3.08, 4 Ag 3.16-3.25
Sn 0.4961 0.4961 0.4961  5 Sn 2.98-3.16
Sn 0.6230 0.6230 0.6230  4 Sn 3.14-3.22, 4 Ag 3.16-3.24
Sn 0.8743 0.8743 0.8743  4 Ag 2.98-3.09, 4 Sn 3.16-3.31

## Properties
Crystal system: trigonal
Space-group type: No. 160
Total DFT energy (no corrections) in eV/atom: -3.51

***

Entry 4:
NaNdZnTe3 | GGA-PBE | optimized geometry

Cell lengths 7.7505, 7.7505, 11.9282 Å; angles 90.00, 90.00, 32.85 degrees
With the nearest neighbours (Å) after each atom.
Fractional positions:
Na 0.7612 0.7612 0.2500  6 Te 3.37-3.45
Na 0.2388 0.2388 0.7500  6 Te 3.37-3.45
Nd 0.0000 0.0000 0.0000  6 Te 3.16-3.22
Nd 0.0000 0.0000 0.5000  6 Te 3.16-3.22
Te 0.3588 0.3588 0.0734  1 Zn 2.67
Te 0.0821 0.0821 0.2500  2 Zn 2.76
Te 0.3588 0.3588 0.4266  1 Zn 2.67
Te 0.6412 0.6412 0.5734  1 Zn 2.67
Te 0.9179 0.9179 0.7500  2 Zn 2.76
Te 0.6412 0.6412 0.9266  1 Zn 2.67
Zn 0.4688 0.4688 0.2500  4 Te 2.67-2.76
Zn 0.5312 0.5312 0.7500  4 Te 2.67-2.76

## Properties
Magnetization in μB per cell: 0.0
Offset from the most stable computed form in eV/atom: 0.000
Crystal system: orthorhombic
Space-group type: No. 63
Total DFT energy (no corrections) in eV/atom: -3.79

***

Entry 5:
NbTlBi | GGA-PBE | optimized geometry

Cell lengths 10.0416, 10.0416, 4.9661 Å; angles 90.18, 90.18, 17.85 degrees
With the nearest neighbours (Å) after each atom.
Fractional positions:
Bi 0.4383 0.4383 0.2303  2 Tl 3.08-3.12, 2 Bi 3.11, 2 Nb 3.19
Bi 0.5617 0.5617 0.7314  2 Tl 3.08-3.12, 2 Bi 3.11, 2 Nb 3.19
Nb 0.7981 0.7981 0.2228  5 Tl 2.83-3.08, 2 Nb 3.11
Nb 0.2020 0.2020 0.7260  5 Tl 2.83-3.08, 2 Nb 3.11
Tl 0.6552 0.6552 0.2279  5 Nb 2.83-3.08, 2 Bi 3.08-3.12, 2 Tl 3.11
Tl 0.3448 0.3448 0.7250  5 Nb 2.83-3.08, 2 Bi 3.08-3.12, 2 Tl 3.11

## Properties
Magnetization in μB per cell: 0.0
Offset from the most stable computed form in eV/atom: 0.000
Crystal system: monoclinic
Space-group type: No. 8
Total DFT energy (no corrections) in eV/atom: -5.10

***

Entry 6:
Ho3Sn3IrPd2 | GGA-PBE | optimized geometry

Cell lengths 7.5860, 7.5860, 3.8808 Å; angles 90.00, 90.00, 120.00 degrees
With the nearest neighbours (Å) after each atom.
Fractional positions:
Ho 0.4009 0.0000 0.0000  4 Pd 3.02, 1 Ir 3.04, 6 Sn 3.22-3.30
Ho 0.0000 0.4009 0.0000  4 Pd 3.02, 1 Ir 3.04, 6 Sn 3.22-3.30
Ho 0.5991 0.5991 0.0000  4 Pd 3.02, 1 Ir 3.04, 6 Sn 3.22-3.30
Ir 0.0000 0.0000 0.0000  6 Sn 2.77, 3 Ho 3.04
Pd 0.6667 0.3333 0.5000  3 Sn 2.85, 6 Ho 3.02
Pd 0.3333 0.6667 0.5000  3 Sn 2.85, 6 Ho 3.02
Sn 0.7402 0.0000 0.5000  2 Ir 2.77, 2 Pd 2.85
Sn 0.2598 0.2598 0.5000  2 Ir 2.77, 2 Pd 2.85
Sn 0.0000 0.7402 0.5000  2 Ir 2.77, 2 Pd 2.85

## Properties
Magnetization in μB per cell: 0.0
Crystal system: hexagonal
Space-group type: No. 189
Total DFT energy (no corrections) in eV/atom: -5.91

***

Entry 7:
Lu2CuB | GGA-PBE | optimized geometry

Cell lengths 4.6141, 4.6141, 4.6141 Å; angles 60.00, 60.00, 60.00 degrees
With the nearest neighbours (Å) after each atom.
Fractional positions:
B 0.5000 0.5000 0.5000  4 Cu 2.83, 4 Lu 2.83
Cu 0.2500 0.2500 0.2500  4 B 2.83, 4 Lu 2.83
Lu 0.0000 0.0000 0.0000  4 Cu 2.83, 4 Lu 2.83
Lu 0.7500 0.7500 0.7500  4 B 2.83, 4 Lu 2.83

## Properties
Magnetization in μB per cell: 0.0
Offset from the most stable computed form in eV/atom: 0.725
Crystal system: cubic
Space-group type: No. 216
Total DFT energy (no corrections) in eV/atom: -4.13

***

Entry 8:
Os3S4 | GGA-PBE | optimized geometry

Cell lengths 6.9494, 6.9494, 6.9494 Å; angles 60.00, 60.00, 60.00 degrees
With the nearest neighbours (Å) after each atom.
Fractional positions:
Os 0.0000 0.0000 0.0000  4 S 2.26
Os 0.6250 0.6250 0.1250  6 S 2.38
Os 0.2500 0.2500 0.2500  4 S 2.26
Os 0.6250 0.1250 0.6250  6 S 2.38
Os 0.1250 0.6250 0.6250  6 S 2.38
Os 0.6250 0.6250 0.6250  6 S 2.38
S 0.3827 0.3827 0.3827  4 Os 2.26-2.38
S 0.8518 0.3827 0.3827  4 Os 2.26-2.38
S 0.3827 0.8518 0.3827  4 Os 2.26-2.38
S 0.8673 0.8673 0.3982  4 Os 2.26-2.38
S 0.3827 0.3827 0.8518  4 Os 2.26-2.38
S 0.8673 0.3982 0.8673  4 Os 2.26-2.38
S 0.8673 0.8673 0.8673  4 Os 2.26-2.38
S 0.3982 0.8673 0.8673  4 Os 2.26-2.38

## Properties
Magnetization in μB per cell: 0.0
Offset from the most stable computed form in eV/atom: 0.076
Crystal system: cubic
Space-group type: No. 227
Total DFT energy (no corrections) in eV/atom: -7.05

***

Entry 9:
TmZrTeC | GGA-PBE | optimized geometry

Cell lengths 3.6250, 3.6250, 13.7349 Å; angles 90.00, 90.00, 120.00 degrees
With the nearest neighbours (Å) after each atom.
Fractional positions:
C 0.0000 0.0000 0.2608  3 Zr 2.38, 3 Tm 2.49
C 0.0000 0.0000 0.7392  3 Zr 2.38, 3 Tm 2.49
Te 0.3333 0.6667 0.0000  6 Tm 3.06
Te 0.6667 0.3333 0.5000  6 Zr 2.99
Tm 0.6667 0.3333 0.1629  3 C 2.49
Tm 0.6667 0.3333 0.8371  3 C 2.49
Zr 0.3333 0.6667 0.3441  3 C 2.38
Zr 0.3333 0.6667 0.6559  3 C 2.38

## Properties
Magnetization in μB per cell: 0.0
Offset from the most stable computed form in eV/atom: 0.018
Crystal system: hexagonal
Space-group type: No. 187
Total DFT energy (no corrections) in eV/atom: -7.21

***

Entry 10:
AlNiPd2 | GGA-PBE | optimized geometry

Cell lengths 4.2894, 4.2894, 4.2894 Å; angles 60.00, 60.00, 60.00 degrees
With the nearest neighbours (Å) after each atom.
Fractional positions:
Al 0.5000 0.5000 0.5000  4 Pd 2.63, 4 Ni 2.63
Ni 0.2500 0.2500 0.2500  4 Pd 2.63, 4 Al 2.63
Pd 0.0000 0.0000 0.0000  4 Ni 2.63, 4 Pd 2.63
Pd 0.7500 0.7500 0.7500  4 Al 2.63, 4 Pd 2.63

## Properties
Magnetization in μB per cell: 0.0
Crystal system: cubic
Space-group type: No. 216
Total DFT energy (no corrections) in eV/atom: -5.36

***

Entry 11:
LuScInFe | GGA-PBE | optimized geometry

Cell lengths 4.7878, 4.7878, 4.7878 Å; angles 60.00, 60.00, 60.00 degrees
With the nearest neighbours (Å) after each atom.
Fractional positions:
Fe 0.7500 0.7500 0.7500  4 In 2.93, 4 Lu 2.93
In 0.0000 0.0000 0.0000  4 Fe 2.93, 4 Sc 2.93
Lu 0.5000 0.5000 0.5000  4 Fe 2.93, 4 Sc 2.93
Sc 0.2500 0.2500 0.2500  4 Lu 2.93, 4 In 2.93

## Properties
Magnetization in μB per cell: 1.0
Offset from the most stable computed form in eV/atom: 0.000
Crystal system: cubic
Space-group type: No. 216
Total DFT energy (no corrections) in eV/atom: -5.48

***

Entry 12:
La2Nd2CBr2Cl3 | GGA-PBE | optimized geometry

Cell lengths 9.4429, 9.4429, 8.2929 Å; angles 104.11, 104.11, 24.19 degrees
With the nearest neighbours (Å) after each atom.
Fractional positions:
Br 0.8279 0.8279 0.1666  3 Nd 3.02-3.35, 1 La 3.10
Br 0.1721 0.1721 0.8334  3 Nd 3.02-3.35, 1 La 3.10
C 0.5000 0.5000 0.0000  2 Nd 2.52, 4 La 2.67
Cl 0.1622 0.1622 0.3343  2 Nd 2.83, 1 La 2.91
Cl 0.5000 0.5000 0.5000  4 La 3.07
Cl 0.8378 0.8378 0.6657  2 Nd 2.83, 1 La 2.91
La 0.0001 0.0001 0.2168  2 C 2.67, 1 Cl 2.91
La 0.9999 0.9999 0.7832  2 C 2.67, 1 Cl 2.91
Nd 0.6411 0.6411 0.0823  1 C 2.52
Nd 0.3589 0.3589 0.9177  1 C 2.52

## Properties
Magnetization in μB per cell: 0.3
Offset from the most stable computed form in eV/atom: 0.003
Crystal system: monoclinic
Space-group type: No. 12
Total DFT energy (no corrections) in eV/atom: -5.36

***

Copy entry 6 word for word.
Ho3Sn3IrPd2 | GGA-PBE | optimized geometry

Cell lengths 7.5860, 7.5860, 3.8808 Å; angles 90.00, 90.00, 120.00 degrees
With the nearest neighbours (Å) after each atom.
Fractional positions:
Ho 0.4009 0.0000 0.0000  4 Pd 3.02, 1 Ir 3.04, 6 Sn 3.22-3.30
Ho 0.0000 0.4009 0.0000  4 Pd 3.02, 1 Ir 3.04, 6 Sn 3.22-3.30
Ho 0.5991 0.5991 0.0000  4 Pd 3.02, 1 Ir 3.04, 6 Sn 3.22-3.30
Ir 0.0000 0.0000 0.0000  6 Sn 2.77, 3 Ho 3.04
Pd 0.6667 0.3333 0.5000  3 Sn 2.85, 6 Ho 3.02
Pd 0.3333 0.6667 0.5000  3 Sn 2.85, 6 Ho 3.02
Sn 0.7402 0.0000 0.5000  2 Ir 2.77, 2 Pd 2.85
Sn 0.2598 0.2598 0.5000  2 Ir 2.77, 2 Pd 2.85
Sn 0.0000 0.7402 0.5000  2 Ir 2.77, 2 Pd 2.85

## Properties
Magnetization in μB per cell: 0.0
Crystal system: hexagonal
Space-group type: No. 189
Total DFT energy (no corrections) in eV/atom: -5.91

***

- Which value of total DFT energy (no corrections) does entry 12 give?
  -5.36 eV/atom